Run i
Compound: Re4Tc5
Source: the Alexandria database
Functional: GGA-PBE
Structure: optimized geometry

The structure in POSCAR format:
```
Re4Tc5
1.0
3.886 0.000 0.000
-1.943 5.855 0.000
-1.943 0.000 5.855
Tc Re
5 4
direct
0.666 0.000 0.333
0.334 0.667 0.000
0.000 0.000 0.000
0.334 0.000 0.667
0.666 0.333 0.000
0.333 0.333 0.333
0.000 0.333 0.667
0.667 0.667 0.667
0.000 0.667 0.333
```

Properties
The density of states at the Fermi level comes out at 8.8 states/eV per cell. For the volume, the calculation gives 133.2 Å³/cell.



Run ii
Compound: Re4Tc5
Source: the Alexandria database
Functional: GGA-PBE
Structure: optimized geometry

The structure in POSCAR format:
```
Re4Tc5
1.0
2.767 0.001 0.746
1.286 6.815 0.722
-0.388 -0.538 6.942
Tc Re
5 4
direct
0.293 0.374 0.040
0.000 0.667 0.333
0.000 0.293 0.707
0.000 0.041 0.959
0.707 0.960 0.626
0.353 0.623 0.672
0.353 0.005 0.289
0.647 0.711 0.995
0.647 0.328 0.377
```

Properties
The density of states at the Fermi level comes out at 8.5 states/eV per cell. For the volume, the calculation gives 133.4 Å³/cell.



Order of stability, best first: run i, run ii



Run i
Compound: Re5Tc
Source: the Alexandria database
Functional: GGA-PBE
Structure: optimized geometry

The structure in POSCAR format:
```
Re5Tc
1.0
-2.110 0.275 -1.785
3.448 -3.170 -2.405
-2.048 -6.052 1.488
Re Tc
5 1
direct
0.334 0.667 0.331
0.388 0.776 0.723
0.000 0.001 0.999
0.056 0.111 0.389
0.668 0.335 0.666
0.721 0.443 0.058
```

Properties
The density of states at the Fermi level comes out at 5.4 states/eV per cell. For the volume, the calculation gives 89.4 Å³/cell.



Run ii
Compound: Re5Tc
Source: the Alexandria database
Functional: GGA-PBE
Structure: optimized geometry

The structure in POSCAR format:
```
Re5Tc
1.0
5.598 0.000 -2.434
-1.058 5.497 -2.434
-0.414 -0.502 6.702
Re Tc
10 2
direct
0.512 0.012 0.734
0.500 0.500 0.000
0.988 0.777 0.266
0.012 0.223 0.734
0.723 0.512 0.734
0.223 0.723 0.734
0.488 0.988 0.266
0.777 0.277 0.266
0.000 0.000 0.000
0.277 0.488 0.266
0.250 0.250 0.500
0.750 0.750 0.500
```

Properties
The density of states at the Fermi level comes out at 10.7 states/eV per cell. For the volume, the calculation gives 192.6 Å³/cell.



Order of stability, best first: run i, run ii



Run i
Compound: Re3Tc
Source: the Alexandria database
Functional: GGA-PBE
Structure: optimized geometry

The structure in POSCAR format:
```
Re3Tc
1.0
-2.126 -0.029 -3.848
2.244 -0.501 -3.747
-0.351 -3.737 -2.290
Re Tc
3 1
direct
0.000 0.000 0.000
0.250 0.250 0.250
0.500 0.500 0.500
0.750 0.750 0.750
```

Properties
The density of states at the Fermi level comes out at 4.7 states/eV per cell. For the volume, the calculation gives 60.1 Å³/cell.



Run ii
Compound: Re3Tc
Source: the Alexandria database
Functional: GGA-PBE
Structure: optimized geometry

The structure in POSCAR format:
```
Re3Tc
1.0
-3.521 4.265 0.381
1.006 -3.169 4.437
3.377 2.685 1.152
Tc Re
2 6
direct
0.333 0.667 0.250
0.667 0.333 0.750
0.834 0.166 0.250
0.333 0.166 0.250
0.834 0.667 0.250
0.667 0.834 0.750
0.166 0.834 0.750
0.166 0.333 0.750
```

Properties
The density of states at the Fermi level comes out at 5.8 states/eV per cell. For the volume, the calculation gives 118.9 Å³/cell.



Run iii
Compound: Re3Tc
Source: the Alexandria database
Functional: GGA-PBE
Structure: optimized geometry

The structure in POSCAR format:
```
Re3Tc
1.0
2.762 0.000 0.000
1.381 2.392 0.000
-1.381 -0.797 9.036
Tc Re
1 3
direct
0.750 0.750 0.250
0.250 0.250 0.750
0.500 0.500 0.499
0.000 0.000 0.001
```

Properties
The density of states at the Fermi level comes out at 3.4 states/eV per cell. For the volume, the calculation gives 59.7 Å³/cell.



Run iv
Compound: Re3Tc
Source: the Alexandria database
Functional: GGA-PBE
Structure: optimized geometry

The structure in POSCAR format:
```
Re3Tc
1.0
-1.904 0.488 4.537
3.039 -3.531 1.655
3.404 3.426 1.060
Re Tc
6 2
direct
0.000 0.250 0.500
0.000 0.750 0.500
0.500 0.000 0.750
0.500 0.000 0.250
0.250 0.500 0.000
0.750 0.500 0.000
0.000 0.000 0.000
0.500 0.500 0.500
```

Properties
The density of states at the Fermi level comes out at 12.1 states/eV per cell. For the volume, the calculation gives 120.9 Å³/cell.



Order of stability, best first: run ii, run iii, run iv, run i



Run i
Compound: Re3Tc
Source: the Alexandria database
Functional: GGA-PBE
Structure: optimized geometry

The structure in POSCAR format:
```
Re3Tc
1.0
-3.467 -0.194 1.786
-0.763 -3.355 -1.846
3.745 -0.219 2.978
Re Tc
3 1
direct
0.750 0.250 0.500
0.500 0.500 0.000
0.250 0.750 0.500
0.000 0.000 0.000
```

Properties
The density of states at the Fermi level comes out at 4.2 states/eV per cell. For the volume, the calculation gives 59.7 Å³/cell.



Run ii
Compound: Re3Tc
Source: the Alexandria database
Functional: GGA-PBE
Structure: optimized geometry

The structure in POSCAR format:
```
Re3Tc
1.0
-2.310 -1.127 -1.014
2.124 -2.143 -2.455
0.307 -4.041 3.792
Tc Re
1 3
direct
0.500 0.500 0.250
0.000 0.000 0.498
0.000 0.000 0.002
0.500 0.500 0.750
```

Properties
The density of states at the Fermi level comes out at 3.8 states/eV per cell. For the volume, the calculation gives 59.7 Å³/cell.



Run iii
Compound: Re3Tc
Source: the Alexandria database
Functional: GGA-PBE
Structure: optimized geometry

The structure in POSCAR format:
```
Re3Tc
1.0
4.799 0.000 0.000
0.000 8.937 0.000
0.000 0.000 5.545
Re Tc
12 4
direct
0.417 0.250 0.625
0.917 0.250 0.875
0.750 0.998 0.625
0.250 0.502 0.875
0.750 0.502 0.625
0.750 0.498 0.125
0.750 0.002 0.125
0.083 0.750 0.125
0.250 0.002 0.375
0.583 0.750 0.375
0.250 0.498 0.375
0.250 0.998 0.875
0.417 0.250 0.125
0.083 0.750 0.625
0.583 0.750 0.875
0.917 0.250 0.375
```

Properties
The density of states at the Fermi level comes out at 12.2 states/eV per cell. For the volume, the calculation gives 237.8 Å³/cell.



Run iv
Compound: Re3Tc
Source: the Alexandria database
Functional: GGA-PBE
Structure: optimized geometry

The structure in POSCAR format:
```
Re3Tc
1.0
-2.126 0.964 1.492
0.978 -2.549 0.469
5.728 3.309 6.025
Re Tc
3 1
direct
0.000 0.000 0.999
0.000 0.000 0.501
0.333 0.667 0.250
0.333 0.667 0.750
```

Properties
The density of states at the Fermi level comes out at 3.6 states/eV per cell. For the volume, the calculation gives 59.5 Å³/cell.



Order of stability, best first: run iv, run iii, run i, run ii